Record 1
First-principles (PBE) data for an optimized crystal structure of Ca2Re, as listed in the Alexandria database.

Computed properties:
energy relative to the lowest polymorph listed for this composition	123.4	kJ/mol of atoms
energy of formation	1.68	eV per atom

Unit cell a=8.220 b=8.220 c=8.220 alpha=90.00 beta=90.00 gamma=90.00
Space group Fd-3m (No. 227, origin choice 2)
Unique sites:
1 Ca 0.000 0.000 0.000 (multiplicity 16)
2 Re 0.125 0.125 0.625 (multiplicity 8)

Record 2
First-principles (PBE) data for an optimized crystal structure of PdSe3Br, as listed in the Alexandria database.

Computed properties:
energy relative to the lowest polymorph listed for this composition	0.0	kJ/mol of atoms
energy relative to the elements, uncorrected	0.514	eV per atom

Unit cell a=4.984 b=4.984 c=4.984 alpha=90.00 beta=90.00 gamma=90.00
Space group Pm-3m (No. 221)
Unique sites:
1 Pd 0.000 0.000 0.000 (multiplicity 1)
2 Se 0.000 0.000 0.500 (multiplicity 3)
3 Br 0.500 0.500 0.500 (multiplicity 1)

Record 3
First-principles (PBE) data for an optimized crystal structure of ScAlCo3, as listed in the Alexandria database.

Computed properties:
energy relative to the lowest polymorph listed for this composition	72.5	kJ/mol of atoms
energy of formation	1.15	eV per atom

Unit cell a=4.335 b=4.335 c=4.335 alpha=90.00 beta=90.00 gamma=90.00
Space group Pm-3m (No. 221)
Unique sites:
1 Sc 0.000 0.000 0.000 (multiplicity 1)
2 Al 0.500 0.500 0.500 (multiplicity 1)
3 Co 0.000 0.000 0.500 (multiplicity 3)

Record 4
First-principles (PBE) data for an optimized crystal structure of Pr3Te2P, as listed in the Alexandria database.

Computed properties:
energy relative to the lowest polymorph listed for this composition	9.3	kJ/mol of atoms
energy relative to the elements, uncorrected	-1.408	eV per atom

Unit cell a=4.3095 b=4.3095 c=23.1031 alpha=90.00 beta=90.00 gamma=120.00
Space group P6_3/mmc (No. 194)
Unique sites:
1 Pr 0.0000 0.0000 0.0000 (multiplicity 2)
2 Pr 0.3333 0.6667 0.1743 (multiplicity 4)
3 Te 0.3333 0.6667 0.5862 (multiplicity 4)
4 P 0.0000 0.0000 0.2500 (multiplicity 2)

Record 5
First-principles (PBE) data for an optimized crystal structure of SmPu2Th, as listed in the Alexandria database.

Computed properties:
energy relative to the lowest polymorph listed for this composition	85.4	kJ/mol of atoms
energy of formation	1.07	eV per atom

Unit cell a=4.1290 b=4.1290 c=27.6797 alpha=90.00 beta=90.00 gamma=120.00
Space group R-3m (No. 166, hexagonal axes)
Unique sites:
1 Sm 0.0000 0.0000 0.0000 (multiplicity 3)
2 Pu 0.0000 0.0000 0.1099 (multiplicity 6)
3 Th 0.0000 0.0000 0.5000 (multiplicity 3)

Record 6
First-principles (PBE) data for an optimized crystal structure of MgSiBr2, as listed in the Alexandria database.

Computed properties:
energy relative to the lowest polymorph listed for this composition	4.3	kJ/mol of atoms
energy relative to the elements, uncorrected	-0.310	eV per atom

Unit cell a=13.894 b=3.518 c=5.516 alpha=90.00 beta=101.40 gamma=90.00
Space group Cm (No. 8)
Unique sites:
1 Mg 0.000 0.000 0.000 (multiplicity 2)
2 Si 0.353 0.000 0.703 (multiplicity 2)
3 Br 0.134 0.500 0.017 (multiplicity 2)
4 Br 0.420 0.000 0.330 (multiplicity 2)

Record 7
First-principles (PBE) data for an optimized crystal structure of MnFe, as listed in the Alexandria database.

Computed properties:
energy of formation	0.11	eV per atom

Unit cell a=2.4670 b=2.4670 c=24.2439 alpha=90.00 beta=90.00 gamma=120.00
Space group R-3m (No. 166, hexagonal axes)
Unique sites:
1 Mn 0.0000 0.0000 0.1252 (multiplicity 6)
2 Fe 0.0000 0.0000 0.3754 (multiplicity 6)

Record 8
First-principles (PBE) data for an optimized crystal structure of LaEuGaIr, as listed in the Alexandria database.

Computed properties:
energy of formation	-0.46	eV per atom

Unit cell a=7.280 b=7.280 c=7.280 alpha=90.00 beta=90.00 gamma=90.00
Space group F-43m (No. 216)
Unique sites:
1 La 0.000 0.000 0.000 (multiplicity 4)
2 Eu 0.000 0.000 0.500 (multiplicity 4)
3 Ga 0.250 0.250 0.750 (multiplicity 4)
4 Ir 0.250 0.250 0.250 (multiplicity 4)

Record 9
First-principles (PBE) data for an optimized crystal structure of Np2TeAsH2, as listed in the Alexandria database.

Unit cell a=3.9034 b=3.9034 c=8.0706 alpha=90.00 beta=90.00 gamma=120.00
Space group P-3m1 (No. 164)
Unique sites:
1 Np 0.3333 0.6667 0.2280 (multiplicity 2)
2 Te 0.0000 0.0000 0.5000 (multiplicity 1)
3 As 0.0000 0.0000 0.0000 (multiplicity 1)
4 H 0.3333 0.6667 0.7582 (multiplicity 2)

Record 10
First-principles (PBE) data for an optimized crystal structure of Tl2AgHg, as listed in the Alexandria database.

Computed properties:
energy relative to the lowest polymorph listed for this composition	2.5	kJ/mol of atoms
energy of formation	0.09	eV per atom

Unit cell a=7.504 b=7.504 c=7.504 alpha=90.00 beta=90.00 gamma=90.00
Space group Fm-3m (No. 225)
Unique sites:
1 Tl 0.250 0.250 0.250 (multiplicity 8)
2 Ag 0.000 0.000 0.000 (multiplicity 4)
3 Hg 0.000 0.000 0.500 (multiplicity 4)

Record 11
First-principles (PBE) data for an optimized crystal structure of In2FeTc, as listed in the Alexandria database.

Computed properties:
energy relative to the lowest polymorph listed for this composition	21.0	kJ/mol of atoms
energy of formation	0.44	eV per atom

Unit cell a=9.162 b=2.957 c=5.257 alpha=90.00 beta=100.96 gamma=90.00
Space group C2/m (No. 12)
Unique sites:
1 In 0.248 0.000 0.247 (multiplicity 4)
2 Fe 0.000 0.500 0.000 (multiplicity 2)
3 Tc 0.000 0.000 0.500 (multiplicity 2)

Record 12
First-principles (PBE) data for an optimized crystal structure of MgTiO, as listed in the Alexandria database.

Computed properties:
energy relative to the lowest polymorph listed for this composition	2.7	kJ/mol of atoms
energy relative to the elements, uncorrected	-1.545	eV per atom

Unit cell a=2.9300 b=2.9300 c=5.2038 alpha=90.00 beta=90.00 gamma=120.00
Space group P3m1 (No. 156)
Unique sites:
1 Mg 0.0000 0.0000 0.0000 (multiplicity 1)
2 Ti 0.3333 0.6667 0.5111 (multiplicity 1)
3 O 0.6667 0.3333 0.2432 (multiplicity 1)

Record 13
First-principles (PBE) data for an optimized crystal structure of SiAgW, as listed in the Alexandria database.

Computed properties:
energy relative to the lowest polymorph listed for this composition	20.8	kJ/mol of atoms
energy relative to the elements, uncorrected	0.346	eV per atom

Unit cell a=2.8615 b=2.8615 c=6.7423 alpha=90.00 beta=90.00 gamma=120.00
Space group P3m1 (No. 156)
Unique sites:
1 Si 0.0000 0.0000 0.0000 (multiplicity 1)
2 Ag 0.3333 0.6667 0.6661 (multiplicity 1)
3 W 0.6667 0.3333 0.3008 (multiplicity 1)

Record 14
First-principles (PBE) data for an optimized crystal structure of RbGaTe2, as listed in the Alexandria database.

Computed properties:
energy relative to the elements, uncorrected	-0.630	eV per atom

Unit cell a=4.309 b=7.837 c=9.223 alpha=90.04 beta=98.93 gamma=90.01
Space group P1 (No. 1)
Unique sites:
1 Rb 0.000 0.000 0.000 (multiplicity 1)
2 Rb 0.410 0.499 0.383 (multiplicity 1)
3 Ga 0.158 0.014 0.531 (multiplicity 1)
4 Ga 0.252 0.515 0.852 (multiplicity 1)
5 Te 0.429 0.225 0.737 (multiplicity 1)
6 Te 0.599 0.030 0.350 (multiplicity 1)
7 Te 0.811 0.531 0.034 (multiplicity 1)
8 Te 0.980 0.725 0.646 (multiplicity 1)

Record 15
First-principles (PBE) data for an optimized crystal structure of HgAs4Pt, as listed in the Alexandria database.

Computed properties:
energy of formation	0.58	eV per atom

Unit cell a=7.903 b=7.903 c=7.903 alpha=90.00 beta=90.00 gamma=90.00
Space group F-43m (No. 216)
Unique sites:
1 Hg 0.000 0.000 0.000 (multiplicity 4)
2 As 0.132 0.132 0.368 (multiplicity 16)
3 Pt 0.250 0.250 0.750 (multiplicity 4)

Record 16
First-principles (PBE) data for an optimized crystal structure of CsSr2Ir, as listed in the Alexandria database.

Computed properties:
energy relative to the lowest polymorph listed for this composition	31.3	kJ/mol of atoms
energy of formation	0.41	eV per atom

Unit cell a=8.065 b=8.065 c=8.065 alpha=90.00 beta=90.00 gamma=90.00
Space group Fm-3m (No. 225)
Unique sites:
1 Cs 0.000 0.000 0.000 (multiplicity 4)
2 Sr 0.250 0.250 0.250 (multiplicity 8)
3 Ir 0.000 0.000 0.500 (multiplicity 4)

Record 17
First-principles (PBE) data for an optimized crystal structure of TmZrSc, as listed in the Alexandria database.

Computed properties:
energy relative to the lowest polymorph listed for this composition	1.1	kJ/mol of atoms
energy of formation	0.05	eV per atom

Unit cell a=3.304 b=3.304 c=14.099 alpha=90.00 beta=90.00 gamma=90.00
Space group I4mm (No. 107)
Unique sites:
1 Tm 0.000 0.000 0.000 (multiplicity 2)
2 Zr 0.000 0.000 0.335 (multiplicity 2)
3 Sc 0.000 0.000 0.683 (multiplicity 2)

Record 18
First-principles (PBE) data for an optimized crystal structure of Sc2As, as listed in the Alexandria database.

Computed properties:
energy of formation	-0.73	eV per atom

Unit cell a=3.535 b=3.535 c=9.734 alpha=90.00 beta=90.00 gamma=90.00
Space group I4/mmm (No. 139)
Unique sites:
1 Sc 0.000 0.000 0.150 (multiplicity 4)
2 As 0.000 0.000 0.500 (multiplicity 2)

Record 19
First-principles (PBE) data for an optimized crystal structure of BaYBr2, as listed in the Alexandria database.

Computed properties:
energy relative to the lowest polymorph listed for this composition	21.4	kJ/mol of atoms
energy relative to the elements, uncorrected	-0.993	eV per atom

Unit cell a=3.703 b=3.703 c=8.489 alpha=90.00 beta=90.00 gamma=90.00
Space group P4/mmm (No. 123)
Unique sites:
1 Ba 0.000 0.000 0.000 (multiplicity 1)
2 Y 0.000 0.000 0.500 (multiplicity 1)
3 Br 0.500 0.500 0.301 (multiplicity 2)

Record 20
First-principles (PBE) data for an optimized crystal structure of KH3Au, as listed in the Alexandria database.

Computed properties:
energy relative to the lowest polymorph listed for this composition	19.5	kJ/mol of atoms

Unit cell a=4.001 b=4.001 c=19.062 alpha=90.00 beta=90.00 gamma=90.00
Space group I-4m2 (No. 119)
Unique sites:
1 K 0.000 0.000 0.000 (multiplicity 2)
2 K 0.000 0.500 0.250 (multiplicity 2)
3 H 0.000 0.000 0.346 (multiplicity 4)
4 H 0.000 0.405 0.097 (multiplicity 8)
5 Au 0.000 0.500 0.652 (multiplicity 4)

no.,DFT total energy (eV/atom),Fermi-level density of states (states/eV/cell)
1,-3.809,38.7
2,-2.950,8.7
3,-5.130,4.4
4,-5.747,5.5
5,-9.132,33.4
6,-2.901,2.1
7,-8.708,15.2
8,-7.235,21.0
9,-7.298,15.1
10,-1.878,8.4
11,-5.635,7.5
12,-6.361,0.7
13,-6.730,1.0
14,-3.199,0.0
15,-3.575,19.2
16,-2.864,16.2
17,-6.404,9.3
18,-6.500,3.9
19,-3.926,2.7
20,-2.857,3.3